InSn2Pt: relaxed, PBE-GGA.

POSCAR file:
```
InSn2Pt
1.0
3.351 0.000 0.000
0.000 3.351 0.000
0.000 0.000 8.407
In Sn Pt
1 2 1
direct
0.000 0.000 0.000
0.500 0.500 0.301
0.500 0.500 0.699
0.000 0.000 0.500
```

Output
For the total energy, the calculation gives -4.3979 eV/atom. The density of states at the Fermi level is 1.2 states/eV per cell. As for the space group: No. 123. The value obtained for the total magnetic moment is 0.0 μB per formula unit. The value obtained for the energy relative to the elements is -0.202 eV per atom.


La2ZrNbCl: relaxed, PBE-GGA.

POSCAR file:
```
La2ZrNbCl
1.0
5.455 0.000 0.000
0.000 5.455 0.000
0.000 0.000 4.792
La Zr Nb Cl
2 1 1 1
direct
0.000 0.500 0.000
0.500 0.000 0.000
0.000 0.000 0.500
0.500 0.500 0.500
0.000 0.000 0.000
```

Output
For the total energy, the calculation gives -5.9808 eV/atom. The density of states at the Fermi level is 4.3 states/eV per cell. For the uncorrected formation energy, the calculation gives 0.0831 eV per atom. As for the space group: No. 123. The value obtained for the total magnetic moment is 2.1 μB per formula unit.